(1)
RbLaC2O6 (PBE-GGA, relaxed); calculated total energy = -0.5563 Ry per atom
1.0
-3.401 -2.329 5.320
6.109 -0.494 2.782
-1.413 7.285 -0.026
O C Rb La
12 4 2 2
direct
0.956 0.397 0.226 O
0.706 0.476 0.610 O
0.524 0.294 0.890 O
0.744 0.788 0.377 O
0.294 0.524 0.390 O
0.788 0.744 0.877 O
0.044 0.603 0.774 O
0.256 0.212 0.623 O
0.476 0.706 0.110 O
0.397 0.956 0.726 O
0.212 0.256 0.123 O
0.603 0.044 0.274 O
0.149 0.390 0.245 C
0.851 0.610 0.755 C
0.610 0.851 0.255 C
0.390 0.149 0.745 C
0.121 0.879 0.250 Rb
0.879 0.121 0.750 Rb
0.399 0.601 0.750 La
0.601 0.399 0.250 La

---

(2)
Pm2Ga3SiPd4 (PBE-GGA, relaxed); calculated total energy = -0.3890 Ry per atom
1.0
-2.191 -3.601 0.979
3.729 -2.070 0.732
-0.329 2.837 9.704
Pd Ga Si Pm
4 3 1 2
direct
0.500 0.000 0.623 Pd
0.000 0.500 0.377 Pd
0.500 0.500 0.000 Pd
0.000 0.000 0.000 Pd
0.500 0.000 0.869 Ga
0.000 0.000 0.500 Ga
0.000 0.500 0.131 Ga
0.500 0.500 0.500 Si
0.500 0.000 0.257 Pm
0.000 0.500 0.743 Pm

---

(3)
KRbPt (PBE-GGA, relaxed); energy of formation from the pure elements = 0.012 eV/atom; calculated total energy = -0.1977 Ry per atom; energy above the lowest structure with this stoichiometry = 81.2 meV per atom
1.0
5.502 0.000 0.000
2.751 4.765 0.000
2.751 1.588 4.493
Pt Rb K
1 1 1
direct
0.250 0.250 0.250 Pt
0.000 0.000 0.000 Rb
0.500 0.500 0.500 K

---

(4)
TaPRh2 (PBE-GGA, relaxed); energy of formation from the pure elements = -0.392 eV/atom; calculated total energy = -0.6162 Ry per atom
1.0
2.133 -4.237 1.159
2.756 -2.268 3.333
-3.608 -1.362 2.267
Ta P Rh
1 1 2
direct
0.538 0.538 0.546 Ta
0.729 0.729 0.147 P
0.258 0.258 0.754 Rh
0.975 0.975 0.053 Rh

---

(5)
PbBr2 (PBE-GGA, relaxed); calculated total energy = -0.2346 Ry per atom
1.0
8.221 0.000 0.000
-4.110 7.119 0.000
0.000 0.000 4.667
Br Pb
6 3
direct
0.407 0.407 0.500 Br
0.000 0.258 0.000 Br
0.000 0.593 0.500 Br
0.258 0.000 0.000 Br
0.593 0.000 0.500 Br
0.742 0.742 0.000 Br
0.667 0.333 0.000 Pb
0.333 0.667 0.000 Pb
0.000 0.000 0.500 Pb

---

(6)
GdSc2Se (PBE-GGA, relaxed); calculated total energy = -0.5938 Ry per atom
1.0
3.566 0.000 0.000
1.783 3.088 0.000
1.783 1.029 9.591
Sc Gd Se
2 1 1
direct
0.109 0.109 0.674 Sc
0.891 0.891 0.326 Sc
0.000 0.000 0.000 Gd
0.500 0.500 0.500 Se

---

(7)
YV4Te2 (PBE-GGA, relaxed); calculated total energy = -0.4302 Ry per atom
1.0
4.855 0.000 0.000
0.000 4.855 0.000
2.428 2.428 7.211
Te Y V
2 1 4
direct
0.385 0.385 0.231 Te
0.615 0.615 0.769 Te
0.000 0.000 0.000 Y
0.000 0.500 0.000 V
0.500 0.000 0.000 V
0.197 0.197 0.606 V
0.803 0.803 0.394 V

---

(8)
KLiNb2Al (PBE-GGA, relaxed); energy of formation from the pure elements = 1.974 eV/atom; calculated total energy = -0.2502 Ry per atom
1.0
-2.825 1.785 3.559
0.586 -4.130 2.537
3.230 1.554 1.784
Al Nb K Li
1 2 1 1
direct
0.500 0.500 0.500 Al
0.000 0.500 0.000 Nb
0.500 0.000 0.000 Nb
0.000 0.000 0.000 K
0.000 0.000 0.500 Li